(1)
InAsF2, relaxed, DFT GGA-PBEsol; space group = No. 225; volume = 15.05 Å³/atom; spin magnetization = 0.06 μB/cell; DOS(E_F) = 0.97 states/eV per atom; ΔE_f (raw) = -0.755 eV/atom; total energy = -0.1375 hartree per atom
1.0
-2.3474 -3.5953 -0.9552
2.0125 -3.5962 -1.5382
0.3375 -3.5831 2.5291
F In As
2 1 1
Direct
0.2500 0.2500 0.2500
0.7500 0.7500 0.7500
0.5000 0.5000 0.5000
0.0000 0.0000 0.0000

(2)
MnCu2Pt, relaxed, DFT GGA-PBEsol; space group = No. 47; volume = 12.88 Å³/atom; spin magnetization = 4.18 μB/cell; DOS(E_F) = 0.39 states/eV per atom; total energy = -0.2342 hartree per atom
1.0
-0.0939 2.1550 -1.7024
-3.4398 0.5051 0.8292
1.4141 3.1703 3.9351
Cu Mn Pt
2 1 1
Direct
0.0000 0.0000 0.2436
0.0000 0.0000 0.7564
0.5000 0.5000 0.0000
0.5000 0.5000 0.5000

(3)
KSrF2, relaxed, DFT GGA-PBEsol; space group = No. 166; volume = 25.23 Å³/atom; spin magnetization = 0.00 μB/cell; DOS(E_F) = 0.20 states/eV per atom; ΔE_f (raw) = -2.807 eV/atom; total energy = -0.1659 hartree per atom
1.0
4.0365 0.0000 0.0000
2.0183 3.4957 0.0000
2.0183 1.1652 7.1518
F Sr K
2 1 1
Direct
0.8745 0.8745 0.3765
0.1255 0.1255 0.6235
0.5000 0.5000 0.5000
0.0000 0.0000 0.0000